Arrangement P

A relaxed ScCo3Pt crystal, computed with GGA-PBE.

Results
The total magnetization is 3.6 μB/cell.

Lattice parameters (Å, degrees): 4.2818 4.2818 4.2818 90.00 90.00 90.00
Space group Pm-3m (No. 221)
Symmetry-distinct sites (fractional):
Sc (0.0000, 0.0000, 0.0000)
Co (0.0000, 0.0000, 0.5000)
Pt (0.5000, 0.5000, 0.5000)

***

Arrangement Q

A relaxed ScCo3Pt crystal, computed with GGA-PBE.

Results
The total magnetization is 5.4 μB/cell.

Lattice parameters (Å, degrees): 4.5813 4.5813 4.5813 90.00 90.00 90.00
Space group Pm-3m (No. 221)
Symmetry-distinct sites (fractional):
Sc (0.0000, 0.0000, 0.0000)
Co (0.0000, 0.5000, 0.5000)
Pt (0.5000, 0.5000, 0.5000)

***

arrangement Q is preferred energetically. Next in line: 442 meV/atom higher.

***

Arrangement P

A relaxed ScCo2Pt2 crystal, computed with GGA-PBE.

Results
The total magnetization is 7.5 μB/cell.

Lattice parameters (Å, degrees): 7.2535 7.2535 2.8315 90.00 90.00 90.00
Space group P4/mbm (No. 127)
Symmetry-distinct sites (fractional):
Sc (0.0000, 0.0000, 0.0000)
Co (0.1155, 0.3845, 0.0000)
Pt (0.1803, 0.6803, 0.5000)

***

Arrangement Q

A relaxed ScCo2Pt2 crystal, computed with GGA-PBE.

Results
The total magnetization is 7.0 μB/cell.

Lattice parameters (Å, degrees): 3.4656 3.4656 13.1107 90.00 90.00 90.00
Space group I4/mmm (No. 139)
Symmetry-distinct sites (fractional):
Sc (0.0000, 0.0000, 0.0000)
Co (0.0000, 0.5000, 0.2500)
Pt (0.0000, 0.0000, 0.3970)

***

arrangement Q is preferred energetically. Next in line: 20 meV/atom higher.

***

Arrangement P

A relaxed CoPtSe2 crystal, computed with GGA-PBE.

Results
The total magnetization is 0.0 μB/cell.

Lattice parameters (Å, degrees): 3.5415 3.9343 11.9662 90.00 90.00 90.00
Space group Immm (No. 71)
Symmetry-distinct sites (fractional):
Co (0.0000, 0.0000, 0.0000)
Pt (0.0000, 0.0000, 0.5000)
Se (0.0000, 0.5000, 0.3669)

***

Arrangement Q

A relaxed CoPtSe2 crystal, computed with GGA-PBE.

Results
The total magnetization is 0.0 μB/cell.

Lattice parameters (Å, degrees): 11.5467 3.1314 4.1673 90.00 96.23 90.00
Space group Cm (No. 8)
Symmetry-distinct sites (fractional):
Co (0.0000, 0.0000, 0.0000)
Pt (0.3038, 0.5000, 0.2751)
Se (0.0900, 0.5000, 0.3324)
Se (0.3442, 0.0000, 0.7925)

***

arrangement P is preferred energetically. Next in line: 218 meV/atom higher.

***

Arrangement P

A relaxed CoPtSe2 crystal, computed with GGA-PBE.

Results
The total magnetization is 0.8 μB/cell.

Lattice parameters (Å, degrees): 2.8590 3.4271 6.9546 90.00 96.60 90.00
Space group P2/m (No. 10)
Symmetry-distinct sites (fractional):
Co (0.0000, 0.0000, 0.0000)
Pt (0.0000, 0.0000, 0.5000)
Se (0.1903, 0.5000, 0.7768)

***

Arrangement Q

A relaxed CoPtSe2 crystal, computed with GGA-PBE.

Results
The total magnetization is 2.7 μB/cell.

Lattice parameters (Å, degrees): 6.3304 6.3304 6.3304 90.00 90.00 90.00
Space group Fm-3m (No. 225)
Symmetry-distinct sites (fractional):
Co (0.0000, 0.0000, 0.0000)
Pt (0.0000, 0.0000, 0.5000)
Se (0.2500, 0.2500, 0.2500)

***

arrangement P is preferred energetically. Next in line: 97 meV/atom higher.